Record 1
First-principles (PBE-GGA) data for an optimized crystal structure of NaSmP2S6, as listed in OQMD.

Computed properties:
* space-group type: No. 14
* final energy: -203.230 eV per cell

a b c (Å): 11.663 7.356 11.112
angles (deg): 90.00 111.25 90.00
Positions (direct):
Na (0.140, 0.109, 0.379)
Na (0.140, 0.391, 0.879)
Na (0.860, 0.609, 0.121)
Na (0.860, 0.891, 0.621)
Sm (0.347, 0.610, 0.591)
Sm (0.347, 0.890, 0.091)
Sm (0.653, 0.110, 0.909)
Sm (0.653, 0.390, 0.409)
P (0.193, 0.616, 0.249)
P (0.193, 0.884, 0.749)
P (0.324, 0.104, 0.750)
P (0.324, 0.396, 0.250)
P (0.676, 0.604, 0.750)
P (0.676, 0.896, 0.250)
P (0.807, 0.116, 0.251)
P (0.807, 0.384, 0.751)
S (0.088, 0.508, 0.339)
S (0.088, 0.992, 0.839)
S (0.120, 0.701, 0.063)
S (0.120, 0.799, 0.563)
S (0.217, 0.204, 0.133)
S (0.217, 0.296, 0.633)
S (0.306, 0.684, 0.854)
S (0.306, 0.816, 0.354)
S (0.408, 0.188, 0.936)
S (0.408, 0.312, 0.436)
S (0.450, 0.521, 0.186)
S (0.450, 0.979, 0.686)
S (0.550, 0.021, 0.314)
S (0.550, 0.479, 0.814)
S (0.592, 0.688, 0.564)
S (0.592, 0.812, 0.064)
S (0.694, 0.184, 0.646)
S (0.694, 0.316, 0.146)
S (0.783, 0.704, 0.367)
S (0.783, 0.796, 0.867)
S (0.880, 0.201, 0.437)
S (0.880, 0.299, 0.937)
S (0.912, 0.008, 0.161)
S (0.912, 0.492, 0.661)

---

Record 2
First-principles (PBE-GGA) data for an optimized crystal structure of YTlCoNi, as listed in OQMD.

Computed properties:
* energy above the most stable polymorph in this dataset: 0.000 eV per atom
* space-group type: No. 216

a b c (Å): 6.525 6.525 6.525
angles (deg): 90.00 90.00 90.00
Positions (direct):
Y (0.000, 0.000, 0.000)
Y (0.000, 0.500, 0.500)
Y (0.500, 0.000, 0.500)
Y (0.500, 0.500, 0.000)
Tl (0.000, 0.000, 0.500)
Tl (0.000, 0.500, 0.000)
Tl (0.500, 0.000, 0.000)
Tl (0.500, 0.500, 0.500)
Co (0.250, 0.250, 0.750)
Co (0.250, 0.750, 0.250)
Co (0.750, 0.250, 0.250)
Co (0.750, 0.750, 0.750)
Ni (0.250, 0.250, 0.250)
Ni (0.250, 0.750, 0.750)
Ni (0.750, 0.250, 0.750)
Ni (0.750, 0.750, 0.250)

---

Record 3
First-principles (PBE-GGA) data for an optimized crystal structure of UBeFe, as listed in OQMD.

Computed properties:
* energy above the most stable polymorph in this dataset: 0.000 eV per atom
* space-group type: No. 216

a b c (Å): 5.791 5.791 5.791
angles (deg): 90.00 90.00 90.00
Positions (direct):
U (0.000, 0.000, 0.000)
U (0.000, 0.500, 0.500)
U (0.500, 0.000, 0.500)
U (0.500, 0.500, 0.000)
Be (0.000, 0.000, 0.500)
Be (0.000, 0.500, 0.000)
Be (0.500, 0.000, 0.000)
Be (0.500, 0.500, 0.500)
Fe (0.250, 0.250, 0.250)
Fe (0.250, 0.750, 0.750)
Fe (0.750, 0.250, 0.750)
Fe (0.750, 0.750, 0.250)

---

Record 4
First-principles (PBE-GGA) data for an optimized crystal structure of B8W17C, as listed in OQMD.

Computed properties:
* space-group type: No. 12
* final energy: -283.499 eV per cell

a b c (Å): 6.646 6.646 8.838
angles (deg): 99.10 99.10 61.98
Positions (direct):
B (0.188, 0.696, 0.797)
B (0.211, 0.211, 0.529)
B (0.298, 0.298, 0.050)
B (0.304, 0.812, 0.203)
B (0.696, 0.188, 0.797)
B (0.702, 0.702, 0.950)
B (0.789, 0.789, 0.471)
B (0.812, 0.304, 0.203)
W (0.048, 0.048, 0.678)
W (0.059, 0.678, 0.035)
W (0.164, 0.578, 0.530)
W (0.199, 0.199, 0.257)
W (0.292, 0.292, 0.782)
W (0.322, 0.941, 0.965)
W (0.422, 0.836, 0.470)
W (0.443, 0.443, 0.272)
W (0.500, 0.500, 0.000)
W (0.557, 0.557, 0.728)
W (0.578, 0.164, 0.530)
W (0.678, 0.059, 0.035)
W (0.708, 0.708, 0.218)
W (0.801, 0.801, 0.743)
W (0.836, 0.422, 0.470)
W (0.941, 0.322, 0.965)
W (0.952, 0.952, 0.322)
C (0.500, 0.500, 0.500)

---

Please write out number 2 again, unchanged.
First-principles (PBE-GGA) data for an optimized crystal structure of YTlCoNi, as listed in OQMD.

Computed properties:
* energy above the most stable polymorph in this dataset: 0.000 eV per atom
* space-group type: No. 216

a b c (Å): 6.525 6.525 6.525
angles (deg): 90.00 90.00 90.00
Positions (direct):
Y (0.000, 0.000, 0.000)
Y (0.000, 0.500, 0.500)
Y (0.500, 0.000, 0.500)
Y (0.500, 0.500, 0.000)
Tl (0.000, 0.000, 0.500)
Tl (0.000, 0.500, 0.000)
Tl (0.500, 0.000, 0.000)
Tl (0.500, 0.500, 0.500)
Co (0.250, 0.250, 0.750)
Co (0.250, 0.750, 0.250)
Co (0.750, 0.250, 0.250)
Co (0.750, 0.750, 0.750)
Ni (0.250, 0.250, 0.250)
Ni (0.250, 0.750, 0.750)
Ni (0.750, 0.250, 0.750)
Ni (0.750, 0.750, 0.250)